1.
# Cr2TcBr | Alexandria via LeMat-Bulk | PBE-GGA | optimized geometry
# Crystal system: monoclinic
# Relative energy among the computed polymorphs: 210 meV/atom
# Raw formation energy: 0.70 eV per atom
data_Cr2TcBr
_symmetry_space_group_name_H-M 'C 1 m 1'
_symmetry_Int_Tables_number 8
_cell_length_a 9.220
_cell_length_b 2.980
_cell_length_c 4.452
_cell_angle_alpha 90.00
_cell_angle_beta 95.97
_cell_angle_gamma 90.00
loop_
_symmetry_equiv_pos_as_xyz
'x,y,z'
'x,-y,z'
'x+1/2,y+1/2,z'
'x+1/2,-y+1/2,z'
loop_
_atom_site_label
_atom_site_type_symbol
_atom_site_fract_x
_atom_site_fract_y
_atom_site_fract_z
Cr1 Cr 0.000 0.000 0.000
Cr2 Cr 0.232 0.500 0.217
Tc1 Tc 0.274 0.000 0.790
Br1 Br 0.005 0.500 0.492

***

2.
# CoC3I | Alexandria via LeMat-Bulk | PBE-GGA | optimized geometry
# Crystal system: cubic
# Relative energy among the computed polymorphs: 0 meV/atom
# Raw formation energy: 2.36 eV per atom
data_CoC3I
_symmetry_space_group_name_H-M 'P m -3 m'
_symmetry_Int_Tables_number 221
_symmetry_space_group_name_Hall '-P 4 2 3'
_cell_length_a 3.904
_cell_length_b 3.904
_cell_length_c 3.904
_cell_angle_alpha 90.00
_cell_angle_beta 90.00
_cell_angle_gamma 90.00
loop_
_atom_site_label
_atom_site_type_symbol
_atom_site_fract_x
_atom_site_fract_y
_atom_site_fract_z
Co1 Co 0.000 0.000 0.000
C1 C 0.000 0.000 0.500
I1 I 0.500 0.500 0.500

***

3.
# Nb2InRu3 | Alexandria via LeMat-Bulk | PBE-GGA | optimized geometry
# Crystal system: tetragonal
# Formation energy from the elements: -0.232 eV/atom
data_Nb2InRu3
_symmetry_space_group_name_H-M 'P 4/m m m'
_symmetry_Int_Tables_number 123
_symmetry_space_group_name_Hall '-P 4 2'
_cell_length_a 3.207
_cell_length_b 3.207
_cell_length_c 9.549
_cell_angle_alpha 90.00
_cell_angle_beta 90.00
_cell_angle_gamma 90.00
loop_
_atom_site_label
_atom_site_type_symbol
_atom_site_fract_x
_atom_site_fract_y
_atom_site_fract_z
Nb1 Nb 0.000 0.000 0.165
In1 In 0.000 0.000 0.500
Ru1 Ru 0.500 0.500 0.000
Ru2 Ru 0.500 0.500 0.320

***

4.
# KZr2Au | Alexandria via LeMat-Bulk | PBE-GGA | optimized geometry
# Crystal system: trigonal
# Relative energy among the computed polymorphs: 361 meV/atom
# Formation energy from the elements: 0.322 eV/atom
data_KZr2Au
_symmetry_space_group_name_H-M 'R -3 m'
_symmetry_Int_Tables_number 166
_symmetry_space_group_name_Hall '-R 3 2"'
_cell_length_a 3.1992
_cell_length_b 3.1992
_cell_length_c 34.8998
_cell_angle_alpha 90.00
_cell_angle_beta 90.00
_cell_angle_gamma 120.00
loop_
_atom_site_label
_atom_site_type_symbol
_atom_site_fract_x
_atom_site_fract_y
_atom_site_fract_z
K1 K 0.0000 0.0000 0.0000
Zr1 Zr 0.0000 0.0000 0.2334
Au1 Au 0.0000 0.0000 0.5000

***

5.
# Ac3Si3Ni2 | Alexandria via LeMat-Bulk | PBE-GGA | optimized geometry
# Crystal system: orthorhombic
# Relative energy among the computed polymorphs: 37 meV/atom
# Raw formation energy: -0.56 eV per atom
data_Ac3Si3Ni2
_symmetry_space_group_name_H-M 'C m c m'
_symmetry_Int_Tables_number 63
_symmetry_space_group_name_Hall '-C 2c 2'
_cell_length_a 4.133
_cell_length_b 11.976
_cell_length_c 14.925
_cell_angle_alpha 90.00
_cell_angle_beta 90.00
_cell_angle_gamma 90.00
loop_
_atom_site_label
_atom_site_type_symbol
_atom_site_fract_x
_atom_site_fract_y
_atom_site_fract_z
Ac1 Ac 0.000 0.069 0.105
Ac2 Ac 0.000 0.362 0.250
Si1 Si 0.000 0.324 0.038
Si2 Si 0.000 0.335 0.750
Ni1 Ni 0.000 0.231 0.604

***

6.
# Si2AgCl | Alexandria via LeMat-Bulk | PBE-GGA | optimized geometry
# Crystal system: trigonal
# Relative energy among the computed polymorphs: 17 meV/atom
# Raw formation energy: 0.04 eV per atom
data_Si2AgCl
_symmetry_space_group_name_H-M 'R 3 m'
_symmetry_Int_Tables_number 160
_symmetry_space_group_name_Hall 'R 3 -2"'
_cell_length_a 3.8447
_cell_length_b 3.8447
_cell_length_c 19.2493
_cell_angle_alpha 90.00
_cell_angle_beta 90.00
_cell_angle_gamma 120.00
loop_
_atom_site_label
_atom_site_type_symbol
_atom_site_fract_x
_atom_site_fract_y
_atom_site_fract_z
Si1 Si 0.0000 0.0000 0.0000
Si2 Si 0.0000 0.0000 0.2971
Ag1 Ag 0.0000 0.0000 0.5427
Cl1 Cl 0.0000 0.0000 0.7909